This record from Alexandria describes RbPb2SeN after structural relaxation. The functional is GGA-PBE.

Values from the calculation:
- space group = P4/mmm (123)
- DOS at the Fermi energy (states/eV per cell) = 12.81
- final energy (eV/cell) = -9.430

Cell lengths 6.346, 5.594, 6.346 Å; angles 90.00, 90.00, 90.00 degrees
Fractional positions:
Pb  0.000  0.000  0.500
Pb  0.500  0.000  0.000
Se  0.000  0.500  0.000
Rb  0.000  0.000  0.000
N  0.500  0.500  0.500